DFT (GGA-PBE) results for a relaxed AcPm2Tl2In2 crystal.

Structure (CIF):
```
data_AcPm2Tl2In2
_chemical_formula_sum 'Ac3 Pm6 Tl6 In6'
_symmetry_space_group_name_H-M 'R -3 m'
_symmetry_Int_Tables_number 166
_symmetry_space_group_name_Hall '-R 3 2"'
_cell_length_a 5.1426
_cell_length_b 5.1426
_cell_length_c 28.9474
_cell_angle_alpha 90.00
_cell_angle_beta 90.00
_cell_angle_gamma 120.00
loop_
_atom_site_label
_atom_site_type_symbol
_atom_site_fract_x
_atom_site_fract_y
_atom_site_fract_z
Ac1 Ac 0.0000 0.0000 0.0000
Pm1 Pm 0.0000 0.0000 0.1329
Tl1 Tl 0.0000 0.0000 0.4276
In1 In 0.0000 0.0000 0.2671
```

formation energy: -0.20 eV/atom
magnetization: 0.0 μB/f.u.
electronic total energy: -75.7 eV for the cell shown
DOS(E_F): 6.47 states/eV/f.u.

DFT (GGA-PBE) results for a relaxed BaHgMo2 crystal.

Structure (CIF):
```
data_BaHgMo2
_chemical_formula_sum 'Ba1 Hg1 Mo2'
_symmetry_space_group_name_H-M 'P 1 2/m 1'
_symmetry_Int_Tables_number 10
_cell_length_a 5.518
_cell_length_b 2.977
_cell_length_c 5.611
_cell_angle_alpha 90.00
_cell_angle_beta 110.52
_cell_angle_gamma 90.00
loop_
_symmetry_equiv_pos_as_xyz
'x,y,z'
'-x,-y,-z'
'-x,y,-z'
'x,-y,z'
loop_
_atom_site_label
_atom_site_type_symbol
_atom_site_fract_x
_atom_site_fract_y
_atom_site_fract_z
Ba1 Ba 0.000 0.000 0.000
Hg1 Hg 0.000 0.500 0.500
Mo1 Mo 0.500 0.000 0.500
Mo2 Mo 0.500 0.500 0.000
```

formation energy: 1.16 eV/atom
magnetization: 0.0 μB/f.u.
electronic total energy: -19.2 eV for the cell shown
DOS(E_F): 4.85 states/eV/f.u.

DFT (GGA-PBE) results for a relaxed OsAuBr2 crystal.

Structure (CIF):
```
data_OsAuBr2
_chemical_formula_sum 'Os4 Au4 Br8'
_symmetry_space_group_name_H-M 'I -4 2 d'
_symmetry_Int_Tables_number 122
_symmetry_space_group_name_Hall 'I -4 2bw'
_cell_length_a 8.660
_cell_length_b 8.660
_cell_length_c 5.374
_cell_angle_alpha 90.00
_cell_angle_beta 90.00
_cell_angle_gamma 90.00
loop_
_atom_site_label
_atom_site_type_symbol
_atom_site_fract_x
_atom_site_fract_y
_atom_site_fract_z
Os1 Os 0.000 0.000 0.000
Au1 Au 0.000 0.000 0.500
Br1 Br 0.112 0.250 0.125
```

magnetization: 0.0 μB/f.u.
energy relative to the elements, uncorrected: 653 meV per atom
excess energy over the best structure of this formula in the dataset: 224.7 meV/atom
electronic total energy: -61.0 eV for the cell shown
DOS(E_F): 2.92 states/eV/f.u.

DFT (GGA-PBE) results for a relaxed Y2CrSe crystal.

Structure (CIF):
```
data_Y2CrSe
_chemical_formula_sum 'Y4 Cr2 Se2'
_symmetry_space_group_name_H-M 'I m m 2'
_symmetry_Int_Tables_number 44
_cell_length_a 3.598
_cell_length_b 4.749
_cell_length_c 10.907
_cell_angle_alpha 90.00
_cell_angle_beta 90.00
_cell_angle_gamma 90.00
loop_
_symmetry_equiv_pos_as_xyz
'x,y,z'
'-x,-y,z'
'-x,y,z'
'x,-y,z'
'x+1/2,y+1/2,z+1/2'
'-x+1/2,-y+1/2,z+1/2'
'-x+1/2,y+1/2,z+1/2'
'x+1/2,-y+1/2,z+1/2'
loop_
_atom_site_label
_atom_site_type_symbol
_atom_site_fract_x
_atom_site_fract_y
_atom_site_fract_z
Y1 Y 0.000 0.000 0.000
Y2 Y 0.000 0.500 0.218
Cr1 Cr 0.000 0.500 0.774
Se1 Se 0.000 0.000 0.465
```

magnetization: 3.7 μB/f.u.
energy relative to the elements, uncorrected: -346 meV per atom
electronic total energy: -54.8 eV for the cell shown
DOS(E_F): 2.88 states/eV/f.u.

DFT (GGA-PBE) results for a relaxed TbPaC crystal.

Structure (CIF):
```
data_TbPaC
_chemical_formula_sum 'Tb2 Pa2 C2'
_symmetry_space_group_name_H-M 'I 4 m m'
_symmetry_Int_Tables_number 107
_symmetry_space_group_name_Hall 'I 4 -2'
_cell_length_a 3.163
_cell_length_b 3.163
_cell_length_c 11.815
_cell_angle_alpha 90.00
_cell_angle_beta 90.00
_cell_angle_gamma 90.00
loop_
_atom_site_label
_atom_site_type_symbol
_atom_site_fract_x
_atom_site_fract_y
_atom_site_fract_z
Tb1 Tb 0.000 0.000 0.000
Pa1 Pa 0.000 0.000 0.753
C1 C 0.000 0.000 0.345
```

formation energy: 0.20 eV/atom
magnetization: 0.0 μB/f.u.
excess energy over the best structure of this formula in the dataset: 391.5 meV/atom
electronic total energy: -45.5 eV for the cell shown
DOS(E_F): 4.32 states/eV/f.u.

DFT (GGA-PBE) results for a relaxed Cs2CeRe3O12 crystal.

Structure (CIF):
```
data_Cs2CeRe3O12
_chemical_formula_sum 'Cs6 Ce3 Re9 O36'
_symmetry_space_group_name_H-M 'R -3 m'
_symmetry_Int_Tables_number 166
_symmetry_space_group_name_Hall '-R 3 2"'
_cell_length_a 7.4037
_cell_length_b 7.4037
_cell_length_c 19.2258
_cell_angle_alpha 90.00
_cell_angle_beta 90.00
_cell_angle_gamma 120.00
loop_
_atom_site_label
_atom_site_type_symbol
_atom_site_fract_x
_atom_site_fract_y
_atom_site_fract_z
Cs1 Cs 0.0000 0.0000 0.1173
Ce1 Ce 0.0000 0.0000 0.5000
Re1 Re 0.0000 0.5000 0.0000
O1 O 0.0476 0.5238 0.0971
O2 O 0.0861 0.5430 0.3441
```

magnetization: 2.1 μB/f.u.
energy relative to the elements, uncorrected: -1951 meV per atom
electronic total energy: -418.8 eV for the cell shown
DOS(E_F): 8.23 states/eV/f.u.

DFT (GGA-PBE) results for a relaxed Tb3PmPd3 crystal.

Structure (CIF):
```
data_Tb3PmPd3
_chemical_formula_sum 'Tb12 Pm4 Pd12'
_symmetry_space_group_name_H-M 'C 1 2/m 1'
_symmetry_Int_Tables_number 12
_cell_length_a 9.323
_cell_length_b 10.553
_cell_length_c 7.138
_cell_angle_alpha 90.00
_cell_angle_beta 91.66
_cell_angle_gamma 90.00
loop_
_symmetry_equiv_pos_as_xyz
'x,y,z'
'-x,-y,-z'
'-x,y,-z'
'x,-y,z'
'x+1/2,y+1/2,z'
'-x+1/2,-y+1/2,-z'
'-x+1/2,y+1/2,-z'
'x+1/2,-y+1/2,z'
loop_
_atom_site_label
_atom_site_type_symbol
_atom_site_fract_x
_atom_site_fract_y
_atom_site_fract_z
Tb1 Tb 0.000 0.178 0.000
Tb2 Tb 0.000 0.247 0.500
Tb3 Tb 0.154 0.500 0.867
Pm1 Pm 0.235 0.500 0.377
Pd1 Pd 0.062 0.000 0.305
Pd2 Pd 0.243 0.250 0.223
```

formation energy: -0.66 eV/atom
magnetization: 0.0 μB/f.u.
electronic total energy: -155.5 eV for the cell shown
DOS(E_F): 5.66 states/eV/f.u.

DFT (GGA-PBE) results for a relaxed Li3YSn3 crystal.

Structure (CIF):
```
data_Li3YSn3
_chemical_formula_sum 'Li6 Y2 Sn6'
_symmetry_space_group_name_H-M 'P m -3 n'
_symmetry_Int_Tables_number 223
_symmetry_space_group_name_Hall '-P 4n 2 3'
_cell_length_a 7.102
_cell_length_b 7.102
_cell_length_c 7.102
_cell_angle_alpha 90.00
_cell_angle_beta 90.00
_cell_angle_gamma 90.00
loop_
_atom_site_label
_atom_site_type_symbol
_atom_site_fract_x
_atom_site_fract_y
_atom_site_fract_z
Li1 Li 0.000 0.250 0.500
Y1 Y 0.000 0.000 0.000
Sn1 Sn 0.000 0.500 0.250
```

formation energy: 0.20 eV/atom
magnetization: 0.0 μB/f.u.
electronic total energy: -45.6 eV for the cell shown
DOS(E_F): 6.53 states/eV/f.u.

DFT (GGA-PBE) results for a relaxed V3InAg crystal.

Structure (CIF):
```
data_V3InAg
_chemical_formula_sum 'V3 In1 Ag1'
_symmetry_space_group_name_H-M 'P m -3 m'
_symmetry_Int_Tables_number 221
_symmetry_space_group_name_Hall '-P 4 2 3'
_cell_length_a 4.922
_cell_length_b 4.922
_cell_length_c 4.922
_cell_angle_alpha 90.00
_cell_angle_beta 90.00
_cell_angle_gamma 90.00
loop_
_atom_site_label
_atom_site_type_symbol
_atom_site_fract_x
_atom_site_fract_y
_atom_site_fract_z
V1 V 0.000 0.000 0.500
In1 In 0.500 0.500 0.500
Ag1 Ag 0.000 0.000 0.000
```

formation energy: 1.51 eV/atom
magnetization: 9.2 μB/f.u.
excess energy over the best structure of this formula in the dataset: 0.0 meV/atom
electronic total energy: -25.4 eV for the cell shown
DOS(E_F): 14.68 states/eV/f.u.

DFT (GGA-PBE) results for a relaxed Ac7Tm crystal.

Structure (CIF):
```
data_Ac7Tm
_chemical_formula_sum 'Ac28 Tm4'
_symmetry_space_group_name_H-M 'F m -3 m'
_symmetry_Int_Tables_number 225
_symmetry_space_group_name_Hall '-F 4 2 3'
_cell_length_a 11.121
_cell_length_b 11.121
_cell_length_c 11.121
_cell_angle_alpha 90.00
_cell_angle_beta 90.00
_cell_angle_gamma 90.00
loop_
_atom_site_label
_atom_site_type_symbol
_atom_site_fract_x
_atom_site_fract_y
_atom_site_fract_z
Ac1 Ac 0.000 0.000 0.000
Ac2 Ac 0.000 0.250 0.250
Tm1 Tm 0.000 0.000 0.500
```

formation energy: 0.04 eV/atom
magnetization: 0.0 μB/f.u.
electronic total energy: -131.8 eV for the cell shown
DOS(E_F): 12.25 states/eV/f.u.

DFT (GGA-PBE) results for a relaxed CeLu3S6 crystal.

Structure (CIF):
```
data_CeLu3S6
_chemical_formula_sum 'Ce2 Lu6 S12'
_symmetry_space_group_name_H-M 'P 1 21/m 1'
_symmetry_Int_Tables_number 11
_cell_length_a 10.933
_cell_length_b 3.917
_cell_length_c 11.171
_cell_angle_alpha 90.00
_cell_angle_beta 108.90
_cell_angle_gamma 90.00
loop_
_symmetry_equiv_pos_as_xyz
'x,y,z'
'-x,-y,-z'
'-x,y+1/2,-z'
'x,-y+1/2,z'
loop_
_atom_site_label
_atom_site_type_symbol
_atom_site_fract_x
_atom_site_fract_y
_atom_site_fract_z
Ce1 Ce 0.050 0.250 0.196
Lu1 Lu 0.160 0.250 0.587
Lu2 Lu 0.321 0.750 0.000
Lu3 Lu 0.442 0.250 0.334
S1 S 0.082 0.750 0.408
S2 S 0.120 0.250 0.964
S3 S 0.198 0.750 0.750
S4 S 0.267 0.750 0.229
S5 S 0.393 0.250 0.558
S6 S 0.478 0.250 0.112
```

magnetization: 1.0 μB/f.u.
energy relative to the elements, uncorrected: -2059 meV per atom
electronic total energy: -129.7 eV for the cell shown
DOS(E_F): 6.33 states/eV/f.u.

DFT (GGA-PBE) results for a relaxed KTb2P2N6 crystal.

Structure (CIF):
```
data_KTb2P2N6
_chemical_formula_sum 'K2 Tb4 P4 N12'
_symmetry_space_group_name_H-M 'C 1 2/m 1'
_symmetry_Int_Tables_number 12
_cell_length_a 11.233
_cell_length_b 6.362
_cell_length_c 6.436
_cell_angle_alpha 90.00
_cell_angle_beta 120.86
_cell_angle_gamma 90.00
loop_
_symmetry_equiv_pos_as_xyz
'x,y,z'
'-x,-y,-z'
'-x,y,-z'
'x,-y,z'
'x+1/2,y+1/2,z'
'-x+1/2,-y+1/2,-z'
'-x+1/2,y+1/2,-z'
'x+1/2,-y+1/2,z'
loop_
_atom_site_label
_atom_site_type_symbol
_atom_site_fract_x
_atom_site_fract_y
_atom_site_fract_z
K1 K 0.000 0.000 0.000
Tb1 Tb 0.176 0.500 0.305
P1 P 0.156 0.500 0.748
N1 N 0.067 0.500 0.871
N2 N 0.203 0.294 0.670
```

magnetization: 0.8 μB/f.u.
energy relative to the elements, uncorrected: -728 meV per atom
electronic total energy: -158.3 eV for the cell shown
DOS(E_F): 4.96 states/eV/f.u.

DFT (GGA-PBE) results for a relaxed BaGeW2 crystal.

Structure (CIF):
```
data_BaGeW2
_chemical_formula_sum 'Ba4 Ge4 W8'
_symmetry_space_group_name_H-M 'I 41/a m d'
_symmetry_Int_Tables_number 141
_cell_length_a 4.925
_cell_length_b 4.925
_cell_length_c 18.552
_cell_angle_alpha 90.00
_cell_angle_beta 90.00
_cell_angle_gamma 90.00
loop_
_symmetry_equiv_pos_as_xyz
'x,y,z'
'-x,-y,-z'
'-y+1/4,x+3/4,z+1/4'
'y+1/4,-x+3/4,-z+1/4'
'-x+1/2,-y,z+1/2'
'x+1/2,y,-z+1/2'
'y+1/4,-x+1/4,z+3/4'
'-y+1/4,x+1/4,-z+3/4'
'x,-y,-z'
'-x,y,z'
'-y+1/4,-x+1/4,-z+3/4'
'y+1/4,x+1/4,z+3/4'
'-x+1/2,y,-z+1/2'
'x+1/2,-y,z+1/2'
'y+1/4,x+3/4,-z+1/4'
'-y+1/4,-x+3/4,z+1/4'
'x+1/2,y+1/2,z+1/2'
'-x+1/2,-y+1/2,-z+1/2'
'-y+3/4,x+1/4,z+3/4'
'y+3/4,-x+1/4,-z+3/4'
'-x,-y+1/2,z'
'x,y+1/2,-z'
'y+3/4,-x+3/4,z+1/4'
'-y+3/4,x+3/4,-z+1/4'
'x+1/2,-y+1/2,-z+1/2'
'-x+1/2,y+1/2,z+1/2'
'-y+3/4,-x+3/4,-z+1/4'
'y+3/4,x+3/4,z+1/4'
'-x,y+1/2,-z'
'x,-y+1/2,z'
'y+3/4,x+1/4,-z+3/4'
'-y+3/4,-x+1/4,z+3/4'
loop_
_atom_site_label
_atom_site_type_symbol
_atom_site_fract_x
_atom_site_fract_y
_atom_site_fract_z
Ba1 Ba 0.000 0.250 0.375
Ge1 Ge 0.000 0.250 0.875
W1 W 0.000 0.000 0.000
```

formation energy: 0.98 eV/atom
magnetization: 0.0 μB/f.u.
electronic total energy: -114.2 eV for the cell shown
DOS(E_F): 6.12 states/eV/f.u.

DFT (GGA-PBE) results for a relaxed YMg3Tl2F12 crystal.

Structure (CIF):
```
data_YMg3Tl2F12
_chemical_formula_sum 'Y3 Mg9 Tl6 F36'
_symmetry_space_group_name_H-M 'R -3 m'
_symmetry_Int_Tables_number 166
_symmetry_space_group_name_Hall '-R 3 2"'
_cell_length_a 7.4414
_cell_length_b 7.4414
_cell_length_c 15.4039
_cell_angle_alpha 90.00
_cell_angle_beta 90.00
_cell_angle_gamma 120.00
loop_
_atom_site_label
_atom_site_type_symbol
_atom_site_fract_x
_atom_site_fract_y
_atom_site_fract_z
Y1 Y 0.0000 0.0000 0.0000
Mg1 Mg 0.0000 0.5000 0.5000
Tl1 Tl 0.0000 0.0000 0.3936
F1 F 0.0436 0.5218 0.3719
F2 F 0.0969 0.5485 0.8006
```

magnetization: 0.5 μB/f.u.
energy relative to the elements, uncorrected: -3082 meV per atom
electronic total energy: -281.7 eV for the cell shown
DOS(E_F): 6.10 states/eV/f.u.